Record 1
GGA-PBE HfZnS2, relaxed; total magnetization = 0.0 μB per cell
1.0
5.209 0.000 0.000
0.000 4.660 0.000
-1.971 0.000 5.409
Hf Zn S
2 2 4
Direct
0.150 0.250 0.417
0.850 0.750 0.583
0.398 0.750 0.119
0.602 0.250 0.881
0.043 0.250 0.823
0.375 0.750 0.677
0.625 0.250 0.323
0.957 0.750 0.177

Record 2
GGA-PBE TaCoHgB, relaxed; total magnetization = 0.8 μB per cell; E above lowest polymorph = 0.000 eV per atom
1.0
0.000 3.048 3.048
3.048 0.000 3.048
3.048 3.048 0.000
Ta Co Hg B
1 1 1 1
Direct
0.000 0.000 0.000
0.500 0.500 0.500
0.750 0.750 0.750
0.250 0.250 0.250

Record 3
GGA-PBE CoB5, relaxed; total magnetization = 0.0 μB per cell
1.0
3.991 0.000 0.000
-1.995 3.456 0.000
0.000 0.000 2.940
Co B
1 5
Direct
0.000 0.000 0.000
0.000 0.500 0.500
0.333 0.667 0.000
0.500 0.000 0.500
0.500 0.500 0.500
0.667 0.333 0.000

Record 4
GGA-PBE PmNiI, relaxed; total magnetization = 0.1 μB per cell
1.0
3.570 -2.061 0.000
3.570 2.061 0.000
-2.332 0.000 12.295
Pm Ni I
2 2 2
Direct
0.049 0.049 0.151
0.951 0.951 0.849
0.335 0.335 0.005
0.665 0.665 0.995
0.226 0.226 0.670
0.774 0.774 0.330

Record 5
GGA-PBE FeB2, relaxed; total magnetization = 0.0 μB per cell
1.0
0.000 4.226 4.226
4.226 0.000 4.226
4.226 4.226 0.000
Fe B
2 4
Direct
0.125 0.125 0.125
0.875 0.875 0.875
0.000 0.000 0.000
0.000 0.000 0.500
0.000 0.500 0.000
0.500 0.000 0.000

Record 6
Crystalline K2AgPbBr6 at its relaxed geometry. Source: the Open Quantum Materials Database, functional GGA-PBE.

The structure in POSCAR format:
```
K2AgPbBr6
1.0
0.000 5.646 5.646
5.646 0.000 5.646
5.646 5.646 0.000
K Ag Pb Br
2 1 1 6
Direct
0.250 0.250 0.250
0.750 0.750 0.750
0.000 0.000 0.000
0.500 0.500 0.500
0.244 0.244 0.756
0.244 0.756 0.244
0.244 0.756 0.756
0.756 0.244 0.244
0.756 0.244 0.756
0.756 0.756 0.244
```

Record 7
GGA-PBE Sm4CBr2Cl2F, relaxed; total magnetization = 0.1 μB per cell
1.0
8.918 -1.861 0.000
8.918 1.861 0.000
-1.715 0.000 7.347
Sm C Br Cl F
4 1 2 2 1
Direct
0.000 0.000 0.233
0.000 0.000 0.767
0.358 0.358 0.921
0.642 0.642 0.079
0.500 0.500 0.000
0.171 0.171 0.802
0.829 0.829 0.198
0.160 0.160 0.354
0.840 0.840 0.646
0.500 0.500 0.500

Record 8
GGA-PBE CuAgHgPb, relaxed; E above lowest polymorph = 0.000 eV per atom
1.0
0.000 3.470 3.470
3.470 0.000 3.470
3.470 3.470 0.000
Cu Ag Hg Pb
1 1 1 1
Direct
0.000 0.000 0.000
0.500 0.500 0.500
0.250 0.250 0.250
0.750 0.750 0.750

no.,volume (Å³/cell),energy (eV/atom)
1,131.27,-5.61
2,56.64,-5.62
3,40.55,-5.82
4,180.97,-4.82
5,150.99,-5.57
6,360.05,-2.89
7,243.93,-5.44
8,83.55,-2.42